(1)
Here is crystalline LaTa2Pb at its relaxed geometry from the Alexandria database. Energies are from PBE-GGA.

Results
calculated volume = 185.4 Å³ per cell
N(E_F) = 9.20 states/eV/cell
calculated formation energy = 0.55 eV/atom
VASP energy = -7.531 eV/atom

```
data_LaTa2Pb
_chemical_formula_sum 'La2 Ta4 Pb2'
_symmetry_space_group_name_H-M 'C 1 2/m 1'
_symmetry_Int_Tables_number 12
_symmetry_space_group_name_Hall '-C 2y'
_cell_length_a 6.3296
_cell_length_b 10.3055
_cell_length_c 3.2033
_cell_angle_alpha 90.00
_cell_angle_beta 117.47
_cell_angle_gamma 90.00
loop_
_atom_site_label
_atom_site_fract_x
_atom_site_fract_y
_atom_site_fract_z
La1 0.0000 0.0000 0.0000
Ta1 0.2500 0.2500 0.5000
Pb1 0.0000 0.5000 0.0000
```

(2)
Here is crystalline ZrTcGe at its relaxed geometry from the Alexandria database. Energies are from PBE-GGA.

Results
excess energy over the best structure of this formula in the dataset = 204 meV per atom
calculated volume = 106.0 Å³ per cell
N(E_F) = 7.07 states/eV/cell
calculated formation energy = -0.51 eV/atom
VASP energy = -8.350 eV/atom

```
data_ZrTcGe
_chemical_formula_sum 'Zr2 Tc2 Ge2'
_symmetry_space_group_name_H-M 'P 4/n m m'
_symmetry_Int_Tables_number 129
_cell_length_a 3.9027
_cell_length_b 3.9027
_cell_length_c 6.9563
_cell_angle_alpha 90.00
_cell_angle_beta 90.00
_cell_angle_gamma 90.00
loop_
_symmetry_equiv_pos_as_xyz
'x,y,z'
'-x,-y,-z'
'-y+1/2,x,z'
'y+1/2,-x,-z'
'-x+1/2,-y+1/2,z'
'x+1/2,y+1/2,-z'
'y,-x+1/2,z'
'-y,x+1/2,-z'
'x+1/2,-y,-z'
'-x+1/2,y,z'
'-y,-x,-z'
'y,x,z'
'-x,y+1/2,-z'
'x,-y+1/2,z'
'y+1/2,x+1/2,-z'
'-y+1/2,-x+1/2,z'
loop_
_atom_site_label
_atom_site_fract_x
_atom_site_fract_y
_atom_site_fract_z
Zr1 0.2500 0.2500 0.1639
Tc1 0.2500 0.7500 0.5000
Ge1 0.2500 0.2500 0.7514
```

(3)
Here is crystalline Al2ZnCo at its relaxed geometry from the Alexandria database. Energies are from PBE-GGA.

Results
calculated volume = 52.8 Å³ per cell
N(E_F) = 1.76 states/eV/cell
calculated formation energy = -0.20 eV/atom
VASP energy = -4.165 eV/atom

```
data_Al2ZnCo
_chemical_formula_sum 'Al2 Zn1 Co1'
_symmetry_space_group_name_H-M 'P 4/m m m'
_symmetry_Int_Tables_number 123
_symmetry_space_group_name_Hall '-P 4 2'
_cell_length_a 3.9876
_cell_length_b 3.9876
_cell_length_c 3.3198
_cell_angle_alpha 90.00
_cell_angle_beta 90.00
_cell_angle_gamma 90.00
loop_
_atom_site_label
_atom_site_fract_x
_atom_site_fract_y
_atom_site_fract_z
Al1 0.0000 0.5000 0.0000
Zn1 0.0000 0.0000 0.5000
Co1 0.5000 0.5000 0.5000
```

(4)
Here is crystalline Tb5TmSi4 at its relaxed geometry from the Alexandria database. Energies are from PBE-GGA.

Results
formation energy from raw total energies = -5.29 eV/f.u.
calculated volume = 504.4 Å³ per cell
N(E_F) = 9.79 states/eV/cell
VASP energy = -5.460 eV/atom

```
data_Tb5TmSi4
_chemical_formula_sum 'Tb10 Tm2 Si8'
_symmetry_space_group_name_H-M 'C 1 2/m 1'
_symmetry_Int_Tables_number 12
_symmetry_space_group_name_Hall '-C 2y'
_cell_length_a 15.1016
_cell_length_b 4.9115
_cell_length_c 6.8001
_cell_angle_alpha 90.00
_cell_angle_beta 90.30
_cell_angle_gamma 90.00
loop_
_atom_site_label
_atom_site_fract_x
_atom_site_fract_y
_atom_site_fract_z
Tb1 0.0000 0.0000 0.0000
Tb2 0.1652 0.5000 0.5065
Tb3 0.1647 0.5000 0.9966
Tm1 0.0000 0.0000 0.5000
Si1 0.0085 0.5000 0.2547
Si2 0.1764 0.0000 0.7495
```

(5)
Here is crystalline Mn3SiTc at its relaxed geometry from the Alexandria database. Energies are from PBE-GGA.

Results
formation energy from raw total energies = 6.65 eV/f.u.
excess energy over the best structure of this formula in the dataset = 322 meV per atom
calculated volume = 94.1 Å³ per cell
N(E_F) = 6.25 states/eV/cell
VASP energy = -7.329 eV/atom

```
data_Mn3SiTc
_chemical_formula_sum 'Mn3 Si1 Tc1'
_symmetry_space_group_name_H-M 'P m -3 m'
_symmetry_Int_Tables_number 221
_symmetry_space_group_name_Hall '-P 4 2 3'
_cell_length_a 4.5478
_cell_length_b 4.5478
_cell_length_c 4.5478
_cell_angle_alpha 90.00
_cell_angle_beta 90.00
_cell_angle_gamma 90.00
loop_
_atom_site_label
_atom_site_fract_x
_atom_site_fract_y
_atom_site_fract_z
Mn1 0.0000 0.0000 0.5000
Si1 0.5000 0.5000 0.5000
Tc1 0.0000 0.0000 0.0000
```

(6)
Here is crystalline SrUP2 at its relaxed geometry from the Alexandria database. Energies are from PBE-GGA.

Results
excess energy over the best structure of this formula in the dataset = 93 meV per atom
calculated volume = 308.4 Å³ per cell
N(E_F) = 17.97 states/eV/cell
calculated formation energy = -0.93 eV/atom
VASP energy = -6.881 eV/atom

```
data_SrUP2
_chemical_formula_sum 'Sr3 U3 P6'
_symmetry_space_group_name_H-M 'R 3 m'
_symmetry_Int_Tables_number 160
_symmetry_space_group_name_Hall 'R 3 -2"'
_cell_length_a 4.0726
_cell_length_b 4.0726
_cell_length_c 21.4708
_cell_angle_alpha 90.00
_cell_angle_beta 90.00
_cell_angle_gamma 120.00
loop_
_atom_site_label
_atom_site_fract_x
_atom_site_fract_y
_atom_site_fract_z
Sr1 0.0000 0.0000 0.0000
U1 0.0000 0.0000 0.8282
P1 0.0000 0.0000 0.2334
P2 0.0000 0.0000 0.4255
```